Entry 1:
Material: NpTl2Br3Cl3
Method: DFT, PBE-GGA
State: optimized geometry

Lattice parameters (Å, degrees): 8.3652 8.3652 4.2746 90.00 90.00 120.00
Last column: nearest neighbours and their distance in Å.
Space group P-62m (No. 189)
Symmetry-distinct sites (fractional):
Np1 0.0000 0.0000 0.0000 x1  6 Cl 2.84, 3 Br 3.04
Tl1 0.3333 0.6667 0.5000 x2  3 Cl 3.34, 6 Br 3.42
Br1 0.0000 0.6369 0.0000 x3  1 Np 3.04
Cl1 0.0000 0.2234 0.5000 x3  2 Np 2.84

Output
Total magnetization: 2.99 μB per formula unit
Formation energy without anion corrections: -1171 meV per atom

***

Entry 2:
Material: NpTl2Br4Cl2
Method: DFT, PBE-GGA
State: optimized geometry

Lattice parameters (Å, degrees): 13.3442 7.8371 7.6435 90.00 120.66 90.00
Last column: nearest neighbours and their distance in Å.
Space group C2/m (No. 12)
Symmetry-distinct sites (fractional):
Np1 0.0000 0.0000 0.0000 x2  2 Cl 2.59, 4 Br 2.79
Tl1 0.2417 0.5000 0.2194 x4  1 Cl 3.31, 4 Br 3.36-3.40
Br1 0.0643 0.2493 0.8152 x8  1 Np 2.79
Cl1 0.2101 0.0000 0.3111 x4  1 Np 2.59

Output
Total magnetization: 3.00 μB per formula unit
Formation energy without anion corrections: -1203 meV per atom

***

Entry 3:
Material: NpTl2BrCl6
Method: DFT, PBE-GGA
State: optimized geometry

Lattice parameters (Å, degrees): 7.3360 7.6399 8.8855 87.84 67.80 64.31
Last column: nearest neighbours and their distance in Å.
Space group P1 (No. 1)
Symmetry-distinct sites (fractional):
Np1 0.0000 0.0000 0.0000 x1  6 Cl 2.49-2.56
Tl1 0.2762 0.3806 0.1441 x1  1 Br 2.98
Tl2 0.5464 0.6965 0.4961 x1  1 Br 2.94
Br1 0.9874 0.5156 0.5015 x1  2 Tl 2.94-2.98
Cl1 0.1747 0.6554 0.8480 x1  1 Np 2.54
Cl2 0.1857 0.8619 0.1943 x1  1 Np 2.52
Cl3 0.3320 0.0426 0.8113 x1  1 Np 2.53
Cl4 0.6635 0.9606 0.1924 x1  1 Np 2.55
Cl5 0.8154 0.1333 0.8081 x1  1 Np 2.49
Cl6 0.8233 0.3487 0.1515 x1  1 Np 2.56

Output
Total magnetization: 2.00 μB per formula unit
Formation energy without anion corrections: -1247 meV per atom

***

Entry 4:
Material: NpTl3Br2Cl6
Method: DFT, PBE-GGA
State: optimized geometry

Lattice parameters (Å, degrees): 16.2277 9.0331 6.2143 90.00 90.29 90.00
Last column: nearest neighbours and their distance in Å.
Space group C2/m (No. 12)
Symmetry-distinct sites (fractional):
Np1 0.0000 0.0000 0.0000 x2  6 Cl 2.55-2.56
Tl1 0.0000 0.5000 0.5000 x2  2 Br 3.09, 4 Cl 3.36
Tl2 0.2500 0.2500 0.0000 x4  2 Br 3.18, 4 Cl 3.32
Br1 0.1735 0.5000 0.2993 x4  3 Tl 3.09-3.18
Cl1 0.0671 0.2015 0.7706 x8  1 Np 2.56
Cl2 0.1299 0.0000 0.2339 x4  1 Np 2.55

Output
Total magnetization: 2.10 μB per formula unit
Formation energy without anion corrections: -1175 meV per atom

***

Entry 5:
Material: Br3ClO
Method: DFT, PBE-GGA
State: optimized geometry

Lattice parameters (Å, degrees): 4.8114 4.8114 4.8114 90.00 90.00 90.00
Last column: nearest neighbours and their distance in Å.
Space group Pm-3m (No. 221)
Symmetry-distinct sites (fractional):
Br1 0.0000 0.0000 0.5000 x3  2 O 2.41
Cl1 0.5000 0.5000 0.5000 x1  12 Br 3.40
O1 0.0000 0.0000 0.0000 x1  6 Br 2.41

Output
Total magnetization: 1.93 μB per formula unit
Formation energy without anion corrections: 766 meV per atom

***

Entry 6:
Material: Br3ClO
Method: DFT, PBE-GGA
State: optimized geometry

Lattice parameters (Å, degrees): 5.2221 5.2221 5.2221 90.00 90.00 90.00
Last column: nearest neighbours and their distance in Å.
Space group Pm-3m (No. 221)
Symmetry-distinct sites (fractional):
Br1 0.0000 0.0000 0.5000 x3  2 Cl 2.61
Cl1 0.0000 0.0000 0.0000 x1  6 Br 2.61
O1 0.5000 0.5000 0.5000 x1  12 Br 3.69

Output
Total magnetization: 0.00 μB per formula unit
Formation energy without anion corrections: 1260 meV per atom